# 1
The following is a GGA-PBE calculation of a geometry-optimized Hg2PbI structure, from the Alexandria database.

Geometry as POSCAR:
```
Hg2PbI
1.0
0.000 3.999 3.999
3.999 0.000 3.999
3.999 3.999 0.000
Hg I Pb
2 1 1
direct
0.250 0.250 0.250
0.750 0.750 0.750
0.000 0.000 0.000
0.500 0.500 0.500
```

Summary:
Space group = Fm-3m (225)
Calculated density = 9.55 g cm⁻³
Energy relative to the elements, uncorrected = 94 meV/atom
Uncorrected energy = -1.3711 eV per atom
Energy above the most stable polymorph in this dataset = 0.155 eV per atom

***

# 2
The following is a GGA-PBE calculation of a geometry-optimized BeInGe3 structure, from the Alexandria database.

Geometry as POSCAR:
```
BeInGe3
1.0
-1.345 0.317 -4.416
3.414 -2.864 -1.245
-2.818 -3.620 0.599
Be Ge In
1 3 1
direct
0.000 0.000 0.000
0.000 0.000 0.500
0.500 0.000 0.000
0.000 0.500 0.000
0.500 0.500 0.500
```

Summary:
Formation energy = 0.405 eV/atom
Space group = Pm-3m (221)
Calculated density = 5.73 g cm⁻³
Uncorrected energy = -3.6587 eV per atom
Energy above the most stable polymorph in this dataset = 0.000 eV per atom

***

# 3
The following is a GGA-PBE calculation of a geometry-optimized ScVIr2 structure, from the Alexandria database.

Geometry as POSCAR:
```
ScVIr2
1.0
7.028 0.000 0.000
0.000 7.028 0.000
3.514 3.514 2.756
Ir V Sc
4 2 2
direct
0.375 0.335 0.750
0.875 0.915 0.750
0.085 0.625 0.250
0.665 0.125 0.250
0.750 0.250 0.500
0.000 0.000 0.000
0.250 0.750 0.500
0.500 0.500 0.000
```

Summary:
Formation energy = -0.195 eV/atom
Space group = I-42d (122)
Calculated density = 11.72 g cm⁻³
Uncorrected energy = -8.4877 eV per atom

***

# 4
The following is a GGA-PBE calculation of a geometry-optimized Y2HfGe2 structure, from the Alexandria database.

Geometry as POSCAR:
```
Y2HfGe2
1.0
7.378 0.000 0.000
0.000 7.378 0.000
0.000 0.000 4.178
Ge Y Hf
4 4 2
direct
0.137 0.363 0.000
0.363 0.863 0.000
0.637 0.137 0.000
0.863 0.637 0.000
0.169 0.669 0.500
0.831 0.331 0.500
0.669 0.831 0.500
0.331 0.169 0.500
0.000 0.000 0.000
0.500 0.500 0.000
```

Summary:
Formation energy = -0.731 eV/atom
Space group = P4/mbm (127)
Calculated density = 7.33 g cm⁻³
Uncorrected energy = -7.1547 eV per atom

***

# 5
The following is a GGA-PBE calculation of a geometry-optimized Ca2Al3Zn4Ga structure, from the Alexandria database.

Geometry as POSCAR:
```
Ca2Al3Zn4Ga
1.0
4.184 0.000 0.000
0.000 4.184 0.000
0.000 0.000 11.229
Ga Zn Al Ca
1 4 3 2
direct
0.500 0.500 0.500
0.500 0.000 0.641
0.000 0.500 0.359
0.500 0.500 0.000
0.000 0.000 0.000
0.500 0.000 0.865
0.000 0.000 0.500
0.000 0.500 0.135
0.500 0.000 0.249
0.000 0.500 0.751
```

Summary:
Formation energy = -0.255 eV/atom
Space group = P-4m2 (115)
Calculated density = 4.16 g cm⁻³
Uncorrected energy = -2.5901 eV per atom

***

# 6
The following is a GGA-PBE calculation of a geometry-optimized PrThAg2 structure, from the Alexandria database.

Geometry as POSCAR:
```
PrThAg2
1.0
-0.193 5.110 1.475
1.104 1.363 5.025
4.496 2.618 1.120
Ag Th Pr
2 1 1
direct
0.750 0.750 0.750
0.250 0.250 0.250
0.000 0.000 0.000
0.500 0.500 0.500
```

Summary:
Formation energy = -0.106 eV/atom
Space group = Fm-3m (225)
Calculated density = 9.17 g cm⁻³
Uncorrected energy = -4.5810 eV per atom
Energy above the most stable polymorph in this dataset = 0.023 eV per atom